No. 1
A plane-wave DFT calculation with PBE was carried out for PuThPa after structural relaxation.

```
data_PuThPa
_chemical_formula_sum 'Pu2 Th2 Pa2'
_space_group_name_H-M_alt 'P 1'
_space_group_IT_number 1
_cell_length_a 3.4224
_cell_length_b 3.4224
_cell_length_c 13.7346
_cell_angle_alpha 90.00
_cell_angle_beta 90.00
_cell_angle_gamma 89.88
loop_
_space_group_symop_operation_xyz
'x,y,z'
loop_
_atom_site_label
_atom_site_fract_x
_atom_site_fract_y
_atom_site_fract_z
_atom_site_occupancy
Pu1 0.2493 0.2493 0.2724 1
Pu2 0.7507 0.7507 0.7276 1
Th1 0.2503 0.2503 0.9042 1
Th2 0.7497 0.7497 0.0958 1
Pa1 0.2500 0.2500 0.5794 1
Pa2 0.7500 0.7500 0.4206 1
```

## Properties
Density = 14.6 g cm⁻³
Space-group type = C2/m (12)
Energy of formation from the pure elements = 80 meV/atom
Excess energy over the best structure of this formula in the dataset = 0.000 eV/atom
Total magnetic moment = 5.28 μB per formula unit



No. 2
A plane-wave DFT calculation with PBE was carried out for Pu6ThPa12 after structural relaxation.

```
data_Pu6ThPa12
_chemical_formula_sum 'Pu6 Th1 Pa12'
_space_group_name_H-M_alt 'P 1'
_space_group_IT_number 1
_cell_length_a 8.1841
_cell_length_b 8.1841
_cell_length_c 8.1841
_cell_angle_alpha 105.91
_cell_angle_beta 105.91
_cell_angle_gamma 105.91
loop_
_space_group_symop_operation_xyz
'x,y,z'
loop_
_atom_site_label
_atom_site_fract_x
_atom_site_fract_y
_atom_site_fract_z
_atom_site_occupancy
Pu1 0.2694 0.2694 0.7278 1
Pu2 0.2694 0.7278 0.2694 1
Pu3 0.2722 0.7306 0.7306 1
Pu4 0.7278 0.2694 0.2694 1
Pu5 0.7306 0.2722 0.7306 1
Pu6 0.7306 0.7306 0.2722 1
Th1 0.0000 0.0000 0.0000 1
Pa1 0.1187 0.5000 0.8813 1
Pa2 0.1187 0.8813 0.5000 1
Pa3 0.1690 0.4278 0.4278 1
Pa4 0.4278 0.1690 0.4278 1
Pa5 0.4278 0.4278 0.1690 1
Pa6 0.5000 0.1187 0.8813 1
Pa7 0.5000 0.8813 0.1187 1
Pa8 0.5722 0.5722 0.8310 1
Pa9 0.5722 0.8310 0.5722 1
Pa10 0.8310 0.5722 0.5722 1
Pa11 0.8813 0.1187 0.5000 1
Pa12 0.8813 0.5000 0.1187 1
```

## Properties
Density = 15.8 g cm⁻³
Space-group type = R-3m (166)
Energy of formation from the pure elements = 261 meV/atom
Total magnetic moment = 26.56 μB per formula unit



No. 3
A plane-wave DFT calculation with PBE was carried out for PuThPa after structural relaxation.

```
data_PuThPa
_chemical_formula_sum 'Pu2 Th2 Pa2'
_space_group_name_H-M_alt 'P 1'
_space_group_IT_number 1
_cell_length_a 6.0492
_cell_length_b 5.5579
_cell_length_c 5.0418
_cell_angle_alpha 90.00
_cell_angle_beta 90.00
_cell_angle_gamma 90.00
loop_
_space_group_symop_operation_xyz
'x,y,z'
loop_
_atom_site_label
_atom_site_fract_x
_atom_site_fract_y
_atom_site_fract_z
_atom_site_occupancy
Pu1 0.0000 0.0000 0.0000 1
Pu2 0.5000 0.0000 0.0000 1
Th1 0.2500 0.5000 0.2134 1
Th2 0.7500 0.5000 0.7866 1
Pa1 0.2500 0.0000 0.5215 1
Pa2 0.7500 0.0000 0.4785 1
```

## Properties
Density = 13.9 g cm⁻³
Space-group type = Pmma (51)
Energy of formation from the pure elements = 399 meV/atom
Excess energy over the best structure of this formula in the dataset = 0.318 eV/atom
Total magnetic moment = 4.73 μB per formula unit



No. 4
A plane-wave DFT calculation with PBE was carried out for PuTh2Pa after structural relaxation.

```
data_PuTh2Pa
_chemical_formula_sum 'Pu1 Th2 Pa1'
_space_group_name_H-M_alt 'P 1'
_space_group_IT_number 1
_cell_length_a 12.2397
_cell_length_b 12.2397
_cell_length_c 12.2397
_cell_angle_alpha 15.80
_cell_angle_beta 15.80
_cell_angle_gamma 15.80
loop_
_space_group_symop_operation_xyz
'x,y,z'
loop_
_atom_site_label
_atom_site_fract_x
_atom_site_fract_y
_atom_site_fract_z
_atom_site_occupancy
Pu1 0.0000 0.0000 0.0000 1
Th1 0.0867 0.0867 0.0867 1
Th2 0.9133 0.9133 0.9133 1
Pa1 0.5000 0.5000 0.5000 1
```

## Properties
Density = 13.2 g cm⁻³
Space-group type = R-3m (166)
Energy of formation from the pure elements = 343 meV/atom
Excess energy over the best structure of this formula in the dataset = 0.229 eV/atom
Total magnetic moment = 6.13 μB per formula unit



No. 5
A plane-wave DFT calculation with PBE was carried out for PuTh2Pa after structural relaxation.

```
data_PuTh2Pa
_chemical_formula_sum 'Pu1 Th2 Pa1'
_space_group_name_H-M_alt 'P 1'
_space_group_IT_number 1
_cell_length_a 4.8372
_cell_length_b 4.8372
_cell_length_c 4.7833
_cell_angle_alpha 90.00
_cell_angle_beta 90.00
_cell_angle_gamma 90.00
loop_
_space_group_symop_operation_xyz
'x,y,z'
loop_
_atom_site_label
_atom_site_fract_x
_atom_site_fract_y
_atom_site_fract_z
_atom_site_occupancy
Pu1 0.0000 0.0000 0.0000 1
Th1 0.0000 0.5000 0.5000 1
Th2 0.5000 0.0000 0.5000 1
Pa1 0.5000 0.5000 0.0000 1
```

## Properties
Density = 13.9 g cm⁻³
Space-group type = P4/mmm (123)
Energy of formation from the pure elements = 114 meV/atom
Excess energy over the best structure of this formula in the dataset = 0.000 eV/atom
Total magnetic moment = 5.09 μB per formula unit



No. 6
A plane-wave DFT calculation with PBE was carried out for Pu2ThPa after structural relaxation.

```
data_Pu2ThPa
_chemical_formula_sum 'Pu2 Th1 Pa1'
_space_group_name_H-M_alt 'P 1'
_space_group_IT_number 1
_cell_length_a 5.5572
_cell_length_b 5.5572
_cell_length_c 3.3136
_cell_angle_alpha 90.00
_cell_angle_beta 90.00
_cell_angle_gamma 90.00
loop_
_space_group_symop_operation_xyz
'x,y,z'
loop_
_atom_site_label
_atom_site_fract_x
_atom_site_fract_y
_atom_site_fract_z
_atom_site_occupancy
Pu1 0.0000 0.5000 0.0000 1
Pu2 0.5000 0.0000 0.0000 1
Th1 0.0000 0.0000 0.5000 1
Pa1 0.5000 0.5000 0.5000 1
```

## Properties
Density = 15.4 g cm⁻³
Space-group type = P4/mmm (123)
Energy of formation from the pure elements = 226 meV/atom
Excess energy over the best structure of this formula in the dataset = 0.051 eV/atom
Total magnetic moment = 10.68 μB per formula unit



No. 7
A plane-wave DFT calculation with PBE was carried out for PuThPa after structural relaxation.

```
data_PuThPa
_chemical_formula_sum 'Pu1 Th1 Pa1'
_space_group_name_H-M_alt 'P 1'
_space_group_IT_number 1
_cell_length_a 5.2774
_cell_length_b 5.2774
_cell_length_c 3.3849
_cell_angle_alpha 90.00
_cell_angle_beta 90.00
_cell_angle_gamma 120.00
loop_
_space_group_symop_operation_xyz
'x,y,z'
loop_
_atom_site_label
_atom_site_fract_x
_atom_site_fract_y
_atom_site_fract_z
_atom_site_occupancy
Pu1 0.0000 0.0000 0.0000 1
Th1 0.6667 0.3333 0.5000 1
Pa1 0.3333 0.6667 0.0000 1
```

## Properties
Density = 14.4 g cm⁻³
Space-group type = P-6m2 (187)
Energy of formation from the pure elements = 156 meV/atom
Excess energy over the best structure of this formula in the dataset = 0.076 eV/atom
Total magnetic moment = 5.79 μB per formula unit



No. 8
A plane-wave DFT calculation with PBE was carried out for PuThPaTl after structural relaxation.

```
data_PuThPaTl
_chemical_formula_sum 'Pu1 Th1 Pa1 Tl1'
_space_group_name_H-M_alt 'P 1'
_space_group_IT_number 1
_cell_length_a 5.3650
_cell_length_b 5.3650
_cell_length_c 5.3650
_cell_angle_alpha 60.00
_cell_angle_beta 60.00
_cell_angle_gamma 60.00
loop_
_space_group_symop_operation_xyz
'x,y,z'
loop_
_atom_site_label
_atom_site_fract_x
_atom_site_fract_y
_atom_site_fract_z
_atom_site_occupancy
Pu1 0.0000 0.0000 0.0000 1
Th1 0.5000 0.5000 0.5000 1
Pa1 0.2500 0.2500 0.2500 1
Tl1 0.7500 0.7500 0.7500 1
```

## Properties
Density = 13.9 g cm⁻³
Space-group type = F-43m (216)
Energy of formation from the pure elements = 223 meV/atom
Total magnetic moment = 7.22 μB per formula unit



No. 9
A plane-wave DFT calculation with PBE was carried out for TmPuThPa after structural relaxation.

```
data_TmPuThPa
_chemical_formula_sum 'Tm1 Pu1 Th1 Pa1'
_space_group_name_H-M_alt 'P 1'
_space_group_IT_number 1
_cell_length_a 5.4070
_cell_length_b 5.4070
_cell_length_c 5.4070
_cell_angle_alpha 60.00
_cell_angle_beta 60.00
_cell_angle_gamma 60.00
loop_
_space_group_symop_operation_xyz
'x,y,z'
loop_
_atom_site_label
_atom_site_fract_x
_atom_site_fract_y
_atom_site_fract_z
_atom_site_occupancy
Tm1 0.0000 0.0000 0.0000 1
Pu1 0.2500 0.2500 0.2500 1
Th1 0.7500 0.7500 0.7500 1
Pa1 0.5000 0.5000 0.5000 1
```

## Properties
Density = 13.0 g cm⁻³
Space-group type = F-43m (216)
Energy of formation from the pure elements = 290 meV/atom
Total magnetic moment = 7.66 μB per formula unit



No. 10
A plane-wave DFT calculation with PBE was carried out for PuThZrPa after structural relaxation.

```
data_PuThZrPa
_chemical_formula_sum 'Pu1 Th1 Zr1 Pa1'
_space_group_name_H-M_alt 'P 1'
_space_group_IT_number 1
_cell_length_a 5.2834
_cell_length_b 5.2834
_cell_length_c 5.2834
_cell_angle_alpha 60.00
_cell_angle_beta 60.00
_cell_angle_gamma 60.00
loop_
_space_group_symop_operation_xyz
'x,y,z'
loop_
_atom_site_label
_atom_site_fract_x
_atom_site_fract_y
_atom_site_fract_z
_atom_site_occupancy
Pu1 0.0000 0.0000 0.0000 1
Th1 0.7500 0.7500 0.7500 1
Zr1 0.2500 0.2500 0.2500 1
Pa1 0.5000 0.5000 0.5000 1
```

## Properties
Density = 12.7 g cm⁻³
Space-group type = F-43m (216)
Energy of formation from the pure elements = 297 meV/atom
Total magnetic moment = 6.69 μB per formula unit



No. 11
A plane-wave DFT calculation with PBE was carried out for PuPa2Ti8 after structural relaxation.

```
data_PuPa2Ti8
_chemical_formula_sum 'Pu1 Pa2 Ti8'
_space_group_name_H-M_alt 'P 1'
_space_group_IT_number 1
_cell_length_a 5.6289
_cell_length_b 5.7454
_cell_length_c 7.1215
_cell_angle_alpha 75.45
_cell_angle_beta 66.94
_cell_angle_gamma 87.44
loop_
_space_group_symop_operation_xyz
'x,y,z'
loop_
_atom_site_label
_atom_site_fract_x
_atom_site_fract_y
_atom_site_fract_z
_atom_site_occupancy
Pu1 0.0000 0.0000 0.0000 1
Pa1 0.4647 0.0917 0.1929 1
Pa2 0.6459 0.7070 0.4620 1
Ti1 0.0891 0.8180 0.6484 1
Ti2 0.1799 0.6308 0.2724 1
Ti3 0.2641 0.4494 0.9137 1
Ti4 0.3504 0.2745 0.5592 1
Ti5 0.5435 0.9087 0.8075 1
Ti6 0.7269 0.5621 0.0795 1
Ti7 0.8179 0.3511 0.7409 1
Ti8 0.8983 0.1900 0.3747 1
```

## Properties
Density = 8.8 g cm⁻³
Space-group type = P1 (1)
Energy of formation from the pure elements = 75 meV/atom
Total magnetic moment = 3.80 μB per formula unit



No. 12
A plane-wave DFT calculation with PBE was carried out for PuPa14Ti after structural relaxation.

```
data_PuPa14Ti
_chemical_formula_sum 'Pu1 Pa14 Ti1'
_space_group_name_H-M_alt 'P 1'
_space_group_IT_number 1
_cell_length_a 9.5073
_cell_length_b 6.4184
_cell_length_c 6.4184
_cell_angle_alpha 89.98
_cell_angle_beta 90.00
_cell_angle_gamma 90.00
loop_
_space_group_symop_operation_xyz
'x,y,z'
loop_
_atom_site_label
_atom_site_fract_x
_atom_site_fract_y
_atom_site_fract_z
_atom_site_occupancy
Pu1 0.0000 0.0000 0.0000 1
Pa1 0.0000 0.4998 0.9987 1
Pa2 0.0000 0.9987 0.4998 1
Pa3 0.2444 0.2536 0.2536 1
Pa4 0.2441 0.2537 0.7454 1
Pa5 0.2441 0.7454 0.2537 1
Pa6 0.2437 0.7452 0.7452 1
Pa7 0.5000 0.4998 0.4998 1
Pa8 0.5000 0.4998 0.9994 1
Pa9 0.5000 0.9994 0.4998 1
Pa10 0.5000 0.9993 0.9993 1
Pa11 0.7556 0.2536 0.2536 1
Pa12 0.7559 0.2537 0.7454 1
Pa13 0.7559 0.7454 0.2537 1
Pa14 0.7563 0.7452 0.7452 1
Ti1 0.0000 0.4977 0.4977 1
```

## Properties
Density = 15.0 g cm⁻³
Space-group type = Amm2 (38)
Energy of formation from the pure elements = 33 meV/atom
Total magnetic moment = 3.90 μB per formula unit



No. 13
A plane-wave DFT calculation with PBE was carried out for PuPa4Ti after structural relaxation.

```
data_PuPa4Ti
_chemical_formula_sum 'Pu2 Pa8 Ti2'
_space_group_name_H-M_alt 'P 1'
_space_group_IT_number 1
_cell_length_a 8.9028
_cell_length_b 9.6748
_cell_length_c 3.2581
_cell_angle_alpha 90.00
_cell_angle_beta 90.00
_cell_angle_gamma 90.00
loop_
_space_group_symop_operation_xyz
'x,y,z'
loop_
_atom_site_label
_atom_site_fract_x
_atom_site_fract_y
_atom_site_fract_z
_atom_site_occupancy
Pu1 0.2500 0.0000 0.0042 1
Pu2 0.7500 0.0000 0.9958 1
Pa1 0.0000 0.1721 0.5000 1
Pa2 0.0000 0.8279 0.5000 1
Pa3 0.2500 0.3447 0.9991 1
Pa4 0.2500 0.6553 0.9991 1
Pa5 0.5000 0.1721 0.5000 1
Pa6 0.5000 0.8279 0.5000 1
Pa7 0.7500 0.3447 0.0009 1
Pa8 0.7500 0.6553 0.0009 1
Ti1 0.0000 0.5000 0.5000 1
Ti2 0.5000 0.5000 0.5000 1
```

## Properties
Density = 14.4 g cm⁻³
Space-group type = Pmma (51)
Energy of formation from the pure elements = 75 meV/atom
Excess energy over the best structure of this formula in the dataset = 0.000 eV/atom
Total magnetic moment = 4.20 μB per formula unit